# 1
A relaxed structure of TbPmBr6, computed with PBE.

a b c (Å): 7.146 7.145 7.717
angles (deg): 62.41 62.41 60.00
Atoms (fractional coordinates):
Br 0.412 0.746 0.747
Br 0.905 0.588 0.253
Br 0.746 0.095 0.747
Br 0.588 0.254 0.253
Br 0.254 0.905 0.253
Br 0.095 0.412 0.747
Pm 0.000 0.000 0.000
Tb 0.500 0.500 0.500

Values from the calculation:
The formation energy without anion corrections comes out at -1.829 eV per atom.

# 2
A relaxed structure of TlAs2S, computed with PBE.

a b c (Å): 4.920 4.920 4.920
angles (deg): 60.00 60.00 60.00
Atoms (fractional coordinates):
Tl 0.500 0.500 0.500
S 0.000 0.000 0.000
As 0.750 0.750 0.750
As 0.250 0.250 0.250

Values from the calculation:
The formation energy without anion corrections comes out at 0.561 eV per atom.

# 3
A relaxed structure of CoNiIrRh, computed with PBE.

a b c (Å): 2.667 2.667 8.539
angles (deg): 81.02 81.02 60.00
Last column: magnetic moment on the atom in μB.
Atoms (fractional coordinates):
Ni 0.375 0.375 0.874  0.69
Ir 0.216 0.216 0.351  0.13
Co 0.632 0.632 0.104  1.71
Rh 0.793 0.793 0.621  -0.01

Values from the calculation:
Its formation energy is 57 meV/atom.

no.,energy above the lowest structure with this stoichiometry (meV/atom),density of states at the Fermi level (states/eV/cell)
1,15,0.00
2,241,2.68
3,0,5.66